(1)
RbPt2F7 | PBE | optimized geometry

Lattice parameters (Å, degrees): 7.176 7.176 4.097 90.00 90.00 126.06
Atoms (fractional coordinates):
Rb 0.000 0.000 0.000
Pt 0.335 0.665 0.500
Pt 0.665 0.335 0.500
F 0.044 0.349 0.500
F 0.320 0.680 0.000
F 0.349 0.044 0.500
F 0.500 0.500 0.500
F 0.651 0.956 0.500
F 0.680 0.320 0.000
F 0.956 0.651 0.500

As for the final energy: -4.0681 eV per atom. For the uncorrected formation energy, the calculation gives -1.453 eV/atom.

***

(2)
ThCdAg | PBE | optimized geometry

Lattice parameters (Å, degrees): 6.030 6.030 6.621 123.27 123.27 49.26
Atoms (fractional coordinates):
Th 0.000 0.000 0.246
Th 0.000 0.000 0.754
Cd 0.332 0.332 0.333
Cd 0.668 0.668 0.667
Ag 0.334 0.334 0.834
Ag 0.666 0.666 0.166

As for the final energy: -3.8996 eV per atom. The calculation puts the energy of formation from the pure elements at -171 meV/atom.

***

(3)
ZrTlMo | PBE | optimized geometry

Lattice parameters (Å, degrees): 4.714 4.714 4.714 60.00 60.00 60.00
Atoms (fractional coordinates):
Zr 0.000 0.000 0.000
Tl 0.250 0.250 0.250
Mo 0.750 0.750 0.750

For the polymorph energy (0 for the lowest one), the calculation gives 901 meV per atom. As for the final energy: -6.1382 eV per atom. The calculation puts the energy of formation from the pure elements at 1110 meV/atom.